A:
Computed, not measured: crystalline CsFeCuOs at its relaxed geometry at the GGA-PBE level of DFT.

- Density: 9.88 Mg/m³
- Magnetization: 15.61 μB/cell

Lattice parameters (Å, degrees): 6.6750 6.6750 6.6750 90.00 90.00 90.00
Closest atoms and distances in Å follow each position.
Space group F-43m (No. 216)
Asymmetric unit:
Cs (0.0000, 0.0000, 0.0000) [4 per cell]  4 Cu 2.89, 4 Os 2.89
Fe (0.0000, 0.0000, 0.5000) [4 per cell]  4 Os 2.89, 4 Cu 2.89
Cu (0.2500, 0.2500, 0.2500) [4 per cell]  4 Fe 2.89, 4 Cs 2.89
Os (0.2500, 0.2500, 0.7500) [4 per cell]  4 Fe 2.89, 4 Cs 2.89



B:
Computed, not measured: crystalline CsFeCuOs at its relaxed geometry at the GGA-PBE level of DFT.

- Density: 9.85 Mg/m³
- Magnetization: 17.21 μB/cell

Lattice parameters (Å, degrees): 6.6821 6.6821 6.6821 90.00 90.00 90.00
Closest atoms and distances in Å follow each position.
Space group F-43m (No. 216)
Asymmetric unit:
Cs (0.0000, 0.0000, 0.0000) [4 per cell]  4 Fe 2.89, 4 Cu 2.89
Fe (0.2500, 0.2500, 0.2500) [4 per cell]  4 Os 2.89, 4 Cs 2.89
Cu (0.2500, 0.2500, 0.7500) [4 per cell]  4 Os 2.89, 4 Cs 2.89
Os (0.0000, 0.0000, 0.5000) [4 per cell]  4 Cu 2.89, 4 Fe 2.89



Stability summary - winner: B; margin: 44 meV per atom.



A:
Computed, not measured: crystalline CsFeCuTe3 at its relaxed geometry at the GGA-PBE level of DFT.

- Density: 5.93 Mg/m³
- Magnetization: 7.61 μB/cell

Lattice parameters (Å, degrees): 3.9629 16.8647 10.6428 90.00 90.00 90.00
Closest atoms and distances in Å follow each position.
Space group Cmcm (No. 63)
Asymmetric unit:
Cs (0.0000, 0.2431, 0.2500) [4 per cell]  8 Te 3.87-3.97, 2 Cs 3.96, 2 Cu 3.96
Fe (0.0000, 0.0000, 0.0000) [4 per cell]  6 Te 2.65-2.84
Cu (0.0000, 0.4605, 0.7500) [4 per cell]  4 Te 2.56-2.58
Te (0.0000, 0.0589, 0.7500) [4 per cell]  2 Cu 2.58, 2 Fe 2.84
Te (0.0000, 0.3975, 0.5315) [8 per cell]  1 Cu 2.56, 2 Fe 2.65



B:
Computed, not measured: crystalline CsFeCuTe3 at its relaxed geometry at the GGA-PBE level of DFT.

- Density: 5.92 Mg/m³
- Magnetization: 2.96 μB/cell

Lattice parameters (Å, degrees): 9.3121 3.9937 10.4903 90.00 114.05 90.00
Closest atoms and distances in Å follow each position.
Space group P2_1/m (No. 11)
Asymmetric unit:
Cs (0.0258, 0.2500, 0.2760) [2 per cell]  8 Te 3.78-4.19, 2 Cs 3.99
Fe (0.4750, 0.2500, 0.1599) [2 per cell]  6 Te 2.62-2.64
Cu (0.4782, 0.7500, 0.4079) [2 per cell]  4 Te 2.61-2.65, 2 Cu 2.69
Te (0.2837, 0.7500, 0.1455) [2 per cell]  1 Cu 2.61, 2 Fe 2.64
Te (0.3297, 0.7500, 0.5767) [2 per cell]  1 Fe 2.62, 3 Cu 2.64-2.65
Te (0.3658, 0.2500, 0.8849) [2 per cell]  3 Fe 2.64



Stability summary - winner: B; margin: 55 meV per atom.



A:
Computed, not measured: crystalline CsGdCu at its relaxed geometry at the GGA-PBE level of DFT.

- Density: 6.42 Mg/m³
- Magnetization: 0.05 μB/cell

Lattice parameters (Å, degrees): 7.1526 7.1526 7.1526 90.00 90.00 90.00
Closest atoms and distances in Å follow each position.
Space group F-43m (No. 216)
Asymmetric unit:
Cs (0.0000, 0.0000, 0.0000) [4 per cell]  4 Gd 3.10, 4 Cu 3.10
Gd (0.2500, 0.2500, 0.7500) [4 per cell]  4 Cs 3.10
Cu (0.2500, 0.2500, 0.2500) [4 per cell]  4 Cs 3.10



B:
Computed, not measured: crystalline CsGdCu at its relaxed geometry at the GGA-PBE level of DFT.

- Density: 5.54 Mg/m³
- Magnetization: 0.05 μB/cell

Lattice parameters (Å, degrees): 7.5136 7.5136 7.5136 90.00 90.00 90.00
Closest atoms and distances in Å follow each position.
Space group F-43m (No. 216)
Asymmetric unit:
Cs (0.0000, 0.0000, 0.0000) [4 per cell]  4 Cu 3.25
Gd (0.0000, 0.0000, 0.5000) [4 per cell]  4 Cu 3.25
Cu (0.2500, 0.2500, 0.2500) [4 per cell]  4 Gd 3.25, 4 Cs 3.25



Stability summary - winner: B; margin: 452 meV per atom.



A:
Computed, not measured: crystalline CsGd2CuTeSe3 at its relaxed geometry at the GGA-PBE level of DFT.

- Density: 6.14 Mg/m³
- Magnetization: 0.02 μB/cell

Lattice parameters (Å, degrees): 4.2738 15.1264 14.6553 90.00 90.00 90.00
Closest atoms and distances in Å follow each position.
Space group Cmcm (No. 63)
Asymmetric unit:
Cs (0.0000, 0.1026, 0.2500) [4 per cell]  6 Se 3.52-3.62
Gd (0.0000, 0.3570, 0.0659) [8 per cell]  4 Se 2.85-2.95, 2 Te 3.19
Cu (0.0000, 0.1674, 0.7500) [4 per cell]  4 Se 2.49-2.50
Te (0.0000, 0.0000, 0.0000) [4 per cell]  4 Gd 3.19
Se (0.0000, 0.2608, 0.6093) [8 per cell]  1 Cu 2.50
Se (0.0000, 0.4175, 0.2500) [4 per cell]  2 Cu 2.49



B:
Computed, not measured: crystalline CsGd2CuTeSe3 at its relaxed geometry at the GGA-PBE level of DFT.

- Density: 6.13 Mg/m³
- Magnetization: 0.01 μB/cell

Lattice parameters (Å, degrees): 4.2639 14.8996 14.9304 90.00 90.00 90.00
Closest atoms and distances in Å follow each position.
Space group Cmcm (No. 63)
Asymmetric unit:
Cs (0.0000, 0.1208, 0.2500) [4 per cell]  4 Se 3.56, 2 Te 3.57, 2 Cu 3.78
Gd (0.0000, 0.3663, 0.0552) [8 per cell]  5 Se 2.89-3.03, 1 Te 3.05
Cu (0.0000, 0.1698, 0.7500) [4 per cell]  2 Se 2.51, 2 Te 2.59
Te (0.0000, 0.4290, 0.2500) [4 per cell]  2 Cu 2.59
Se (0.0000, 0.0000, 0.0000) [4 per cell]  4 Gd 3.03
Se (0.0000, 0.2550, 0.6052) [8 per cell]  1 Cu 2.51



Stability summary - winner: A; margin: 32 meV per atom.



A:
Computed, not measured: crystalline CsCuGe at its relaxed geometry at the GGA-PBE level of DFT.

- Density: 4.66 Mg/m³

Lattice parameters (Å, degrees): 7.2658 7.2658 7.2658 90.00 90.00 90.00
Closest atoms and distances in Å follow each position.
Space group F-43m (No. 216)
Asymmetric unit:
Cs (0.0000, 0.0000, 0.0000) [4 per cell]  4 Cu 3.15
Cu (0.2500, 0.2500, 0.2500) [4 per cell]  4 Ge 3.15, 4 Cs 3.15
Ge (0.0000, 0.0000, 0.5000) [4 per cell]  4 Cu 3.15



B:
Computed, not measured: crystalline CsCuGe at its relaxed geometry at the GGA-PBE level of DFT.

- Density: 3.74 Mg/m³

Lattice parameters (Å, degrees): 7.8200 7.8200 7.8200 90.00 90.00 90.00
Closest atoms and distances in Å follow each position.
Space group F-43m (No. 216)
Asymmetric unit:
Cs (0.0000, 0.0000, 0.0000) [4 per cell]  4 Ge 3.39, 4 Cu 3.39
Cu (0.2500, 0.2500, 0.7500) [4 per cell]  4 Cs 3.39
Ge (0.2500, 0.2500, 0.2500) [4 per cell]  4 Cs 3.39



Stability summary - winner: A; margin: 525 meV per atom.



A:
Computed, not measured: crystalline CsCu3GeTe4 at its relaxed geometry at the GGA-PBE level of DFT.

- Density: 5.50 Mg/m³

Lattice parameters (Å, degrees): 6.2088 8.2132 11.0727 90.00 104.08 90.00
Closest atoms and distances in Å follow each position.
Space group P2_1/m (No. 11)
Asymmetric unit:
Cs (0.1922, 0.2500, 0.3836) [2 per cell]  9 Te 3.84-4.11
Cu (0.3010, 0.5505, 0.0138) [4 per cell]  2 Cu 2.58-2.69, 3 Te 2.61-2.65
Cu (0.3577, 0.7500, 0.1988) [2 per cell]  2 Cu 2.58, 4 Te 2.64-2.87
Ge (0.1335, 0.2500, 0.7792) [2 per cell]  4 Te 2.58-2.68
Te (0.0349, 0.2500, 0.0019) [2 per cell]  3 Cu 2.62-2.87, 1 Ge 2.68
Te (0.2149, 0.7500, 0.4045) [2 per cell]  1 Ge 2.58, 1 Cu 2.64
Te (0.3821, 0.5192, 0.7912) [4 per cell]  3 Cu 2.61-2.72, 1 Ge 2.68



B:
Computed, not measured: crystalline CsCu3GeTe4 at its relaxed geometry at the GGA-PBE level of DFT.

- Density: 4.83 Mg/m³

Lattice parameters (Å, degrees): 6.7824 6.7824 6.7824 90.00 90.00 90.00
Closest atoms and distances in Å follow each position.
Space group P-43m (No. 215)
Asymmetric unit:
Cs (0.0000, 0.0000, 0.0000) [1 per cell]  4 Te 3.34
Cu (0.0000, 0.5000, 0.5000) [3 per cell]  4 Te 2.83
Ge (0.5000, 0.5000, 0.5000) [1 per cell]  4 Te 2.54
Te (0.2842, 0.2842, 0.2842) [4 per cell]  1 Ge 2.54, 3 Cu 2.83



Stability summary - winner: A; margin: 238 meV per atom.



A:
Computed, not measured: crystalline CsHfCu3S4 at its relaxed geometry at the GGA-PBE level of DFT.

- Density: 4.47 Mg/m³
- Magnetization: 0.00 μB/cell

Lattice parameters (Å, degrees): 6.1639 6.1639 6.1639 90.00 90.00 90.00
Closest atoms and distances in Å follow each position.
Space group P-43m (No. 215)
Asymmetric unit:
Cs (0.0000, 0.0000, 0.0000) [1 per cell]  4 S 3.00
Hf (0.5000, 0.5000, 0.5000) [1 per cell]  4 S 2.34
Cu (0.0000, 0.5000, 0.5000) [3 per cell]  4 S 2.58
S (0.2813, 0.2813, 0.2813) [4 per cell]  1 Hf 2.34, 3 Cu 2.58



B:
Computed, not measured: crystalline CsHfCu3S4 at its relaxed geometry at the GGA-PBE level of DFT.

- Density: 4.99 Mg/m³
- Magnetization: 0.02 μB/cell

Lattice parameters (Å, degrees): 5.7102 7.5841 10.0625 90.00 105.60 90.00
Closest atoms and distances in Å follow each position.
Space group P2_1/m (No. 11)
Asymmetric unit:
Cs (0.2016, 0.2500, 0.3770) [2 per cell]  9 S 3.53-3.87
Hf (0.1444, 0.2500, 0.7915) [2 per cell]  4 S 2.36-2.43
Cu (0.2749, 0.5150, 0.0050) [4 per cell]  4 S 2.34-2.49, 1 Cu 2.61
Cu (0.3581, 0.7500, 0.2092) [2 per cell]  3 S 2.30-2.40
S (0.0166, 0.2500, 0.0037) [2 per cell]  5 Cu 2.42-2.59, 1 Hf 2.43
S (0.2045, 0.7500, 0.3985) [2 per cell]  1 Cu 2.30, 1 Hf 2.36
S (0.3978, 0.5062, 0.7971) [4 per cell]  3 Cu 2.34-2.40, 1 Hf 2.41



Stability summary - winner: B; margin: 196 meV per atom.



A:
Computed, not measured: crystalline CsHfCu3Se4 at its relaxed geometry at the GGA-PBE level of DFT.

- Density: 5.85 Mg/m³
- Magnetization: 0.01 μB/cell

Lattice parameters (Å, degrees): 5.9311 7.8406 10.3817 90.00 105.98 90.00
Closest atoms and distances in Å follow each position.
Space group P2_1/m (No. 11)
Asymmetric unit:
Cs (0.1981, 0.2500, 0.3805) [2 per cell]  9 Se 3.62-3.94
Hf (0.1454, 0.2500, 0.7925) [2 per cell]  4 Se 2.48-2.56
Cu (0.2839, 0.5134, 0.0031) [4 per cell]  4 Se 2.47-2.60, 2 Cu 2.59-2.72
Cu (0.3503, 0.7500, 0.2011) [2 per cell]  4 Se 2.46-2.65, 2 Cu 2.72
Se (0.0209, 0.2500, 0.0102) [2 per cell]  1 Hf 2.56, 5 Cu 2.57-2.65
Se (0.2083, 0.7500, 0.4023) [2 per cell]  1 Cu 2.46, 1 Hf 2.48
Se (0.3957, 0.5119, 0.7881) [4 per cell]  3 Cu 2.47-2.53, 1 Hf 2.54



B:
Computed, not measured: crystalline CsHfCu3Se4 at its relaxed geometry at the GGA-PBE level of DFT.

- Density: 5.14 Mg/m³
- Magnetization: 0.00 μB/cell

Lattice parameters (Å, degrees): 6.4165 6.4165 6.4165 90.00 90.00 90.00
Closest atoms and distances in Å follow each position.
Space group P-43m (No. 215)
Asymmetric unit:
Cs (0.0000, 0.0000, 0.0000) [1 per cell]  4 Se 3.10
Hf (0.5000, 0.5000, 0.5000) [1 per cell]  4 Se 2.46
Cu (0.0000, 0.5000, 0.5000) [3 per cell]  4 Se 2.69
Se (0.2787, 0.2787, 0.2787) [4 per cell]  1 Hf 2.46, 3 Cu 2.69



Stability summary - winner: A; margin: 202 meV per atom.



A:
Computed, not measured: crystalline CsHfCuTeSe2 at its relaxed geometry at the GGA-PBE level of DFT.

- Density: 6.16 Mg/m³
- Magnetization: 0.01 μB/cell

Lattice parameters (Å, degrees): 3.9653 16.8888 10.6292 90.00 90.00 90.00
Closest atoms and distances in Å follow each position.
Space group Cmcm (No. 63)
Asymmetric unit:
Cs (0.0000, 0.2342, 0.2500) [4 per cell]  4 Se 3.61, 2 Te 3.82, 2 Cs 3.97, 2 Cu 4.01
Hf (0.0000, 0.0000, 0.0000) [4 per cell]  4 Se 2.72, 2 Te 2.93
Cu (0.0000, 0.4723, 0.7500) [4 per cell]  2 Se 2.43, 2 Te 2.61
Te (0.0000, 0.0726, 0.7500) [4 per cell]  2 Cu 2.61
Se (0.0000, 0.3960, 0.5560) [8 per cell]  1 Cu 2.43, 2 Hf 2.72



B:
Computed, not measured: crystalline CsHfCuTeSe2 at its relaxed geometry at the GGA-PBE level of DFT.

- Density: 6.27 Mg/m³
- Magnetization: 0.00 μB/cell

Lattice parameters (Å, degrees): 9.3302 4.0333 10.3371 90.00 115.92 90.00
Closest atoms and distances in Å follow each position.
Space group P2_1/m (No. 11)
Asymmetric unit:
Cs (0.2271, 0.2500, 0.2097) [2 per cell]  4 Se 3.61-3.64, 3 Te 3.75-4.00, 2 Cs 4.03
Hf (0.1862, 0.7500, 0.6637) [2 per cell]  4 Se 2.61-2.79, 2 Te 2.90
Cu (0.4159, 0.2500, 0.8987) [2 per cell]  3 Se 2.51-2.56, 1 Te 2.62
Te (0.3955, 0.2500, 0.6379) [2 per cell]  1 Cu 2.62, 2 Hf 2.90
Se (0.0210, 0.7500, 0.3645) [2 per cell]  3 Hf 2.72-2.79
Se (0.2829, 0.7500, 0.9419) [2 per cell]  3 Cu 2.51-2.56, 1 Hf 2.61



Stability summary - winner: B; margin: 6 meV per atom.



A:
Computed, not measured: crystalline CsHfCu3Te4 at its relaxed geometry at the GGA-PBE level of DFT.

- Density: 6.25 Mg/m³
- Magnetization: 0.02 μB/cell

Lattice parameters (Å, degrees): 6.2282 8.2563 10.8979 90.00 106.15 90.00
Closest atoms and distances in Å follow each position.
Space group P2_1/m (No. 11)
Asymmetric unit:
Cs (0.1851, 0.2500, 0.3865) [2 per cell]  9 Te 3.77-4.14
Hf (0.1475, 0.2500, 0.7946) [2 per cell]  4 Te 2.68-2.77
Cu (0.2883, 0.5060, 0.9977) [4 per cell]  2 Cu 2.63-2.84, 4 Te 2.63-2.76
Cu (0.3391, 0.7500, 0.1875) [2 per cell]  4 Te 2.66-2.71, 2 Cu 2.84
Te (0.0227, 0.2500, 0.0193) [2 per cell]  5 Cu 2.71-2.76, 1 Hf 2.77
Te (0.2205, 0.7500, 0.4043) [2 per cell]  1 Cu 2.66, 1 Hf 2.68
Te (0.4025, 0.5172, 0.7826) [4 per cell]  3 Cu 2.63-2.70, 1 Hf 2.74



B:
Computed, not measured: crystalline CsHfCu3Te4 at its relaxed geometry at the GGA-PBE level of DFT.

- Density: 5.27 Mg/m³
- Magnetization: 0.00 μB/cell

Lattice parameters (Å, degrees): 6.8330 6.8330 6.8330 90.00 90.00 90.00
Closest atoms and distances in Å follow each position.
Space group P-43m (No. 215)
Asymmetric unit:
Cs (0.0000, 0.0000, 0.0000) [1 per cell]  4 Te 3.26
Hf (0.5000, 0.5000, 0.5000) [1 per cell]  4 Te 2.66
Cu (0.0000, 0.5000, 0.5000) [3 per cell]  4 Te 2.87
Te (0.2756, 0.2756, 0.2756) [4 per cell]  1 Hf 2.66, 3 Cu 2.87



Stability summary - winner: A; margin: 243 meV per atom.